First-principles (PBE-GGA) data for an optimized crystal structure of PmZr2PdN4, as listed in Alexandria.

Calculated values
**E**: -8.584 eV/atom
**Crystal system**: orthorhombic
**Formation energy without anion corrections**: -1.04 eV per atom
**Density of states at the Fermi level**: 1.397 states/eV/f.u.

a b c (Å): 3.3024 11.2792 11.5795
angles (deg): 90.00 90.00 90.00
Last column: nearest neighbours and their distance in Å.
Space group Cmcm (No. 63)
One atom of each set of equivalent atoms:
Pm 0.0000 0.1189 0.2500 [4 per cell]  6 N 2.39-2.67
Zr 0.0000 0.3685 0.0505 [8 per cell]  5 N 2.13-2.36
Pd 0.0000 0.1446 0.7500 [4 per cell]  4 N 2.07-2.18
N 0.0000 0.0000 0.0000 [4 per cell]  4 Zr 2.30
N 0.0000 0.2690 0.6060 [8 per cell]  3 Zr 2.13-2.36, 1 Pd 2.18
N 0.0000 0.4662 0.2500 [4 per cell]  2 Pd 2.07